1.
VASP calculation (PBE) on a geometry-optimized AcTeCl structure.

```
data_AcTeCl
_cell_length_a 7.6028
_cell_length_b 7.6028
_cell_length_c 7.6028
_cell_angle_alpha 90.00
_cell_angle_beta 90.00
_cell_angle_gamma 90.00
_space_group_name_H-M_alt 'F -4 3 m'
_space_group_IT_number 216
_space_group_name_Hall 'F -4 2 3'
loop_
_atom_site_label
_atom_site_fract_x
_atom_site_fract_y
_atom_site_fract_z
_atom_site_occupancy
Ac1 0.0000 0.0000 0.0000 1
Te1 0.2500 0.2500 0.2500 1
Cl1 0.2500 0.2500 0.7500 1
```

DOS at the Fermi energy: 0.00 states/eV per atom

***

2.
VASP calculation (PBE) on a geometry-optimized AcTeCl structure.

```
data_AcTeCl
_cell_length_a 4.6913
_cell_length_b 4.6913
_cell_length_c 8.5503
_cell_angle_alpha 90.00
_cell_angle_beta 90.00
_cell_angle_gamma 90.00
_space_group_name_H-M_alt 'P 4/n m m'
_space_group_IT_number 129
loop_
_space_group_symop_operation_xyz
'x,y,z'
'-x,-y,-z'
'-y+1/2,x,z'
'y+1/2,-x,-z'
'-x+1/2,-y+1/2,z'
'x+1/2,y+1/2,-z'
'y,-x+1/2,z'
'-y,x+1/2,-z'
'x+1/2,-y,-z'
'-x+1/2,y,z'
'-y,-x,-z'
'y,x,z'
'-x,y+1/2,-z'
'x,-y+1/2,z'
'y+1/2,x+1/2,-z'
'-y+1/2,-x+1/2,z'
loop_
_atom_site_label
_atom_site_fract_x
_atom_site_fract_y
_atom_site_fract_z
_atom_site_occupancy
Ac1 0.2500 0.2500 0.2427 1
Te1 0.2500 0.2500 0.6403 1
Cl1 0.2500 0.7500 0.0000 1
```

***

List of relative energies, unit eV/atom: 1 0.116; 2 0.000